(1)
A plane-wave DFT calculation with PBE was carried out for a geometry-optimized PuMgTlH structure.

Results
Final energy (eV/cell): -44.54
Crystal system: tetragonal

Cell lengths 4.285, 4.285, 8.765 Å; angles 90.00, 90.00, 90.00 degrees
Last column: magnetic moment on the atom in μB.
Fractional positions:
Pu  0.000  0.500  0.888  5.33
Pu  0.500  0.000  0.112  5.33
Mg  0.000  0.000  0.500  -0.01
Mg  0.500  0.500  0.500  -0.01
Tl  0.500  0.000  0.734  0.00
Tl  0.000  0.500  0.266  0.00
H  0.500  0.500  0.000  -0.03
H  0.000  0.000  0.000  -0.03



(2)
A plane-wave DFT calculation with PBE was carried out for a geometry-optimized CaAcAlPt structure.

Results
Offset from the most stable computed form (eV per atom): 0.000
E_form (kJ/mol of formula units): -259
Crystal system: trigonal

Cell lengths 4.390, 4.390, 7.991 Å; angles 74.06, 74.06, 60.00 degrees
Last column: magnetic moment on the atom in μB.
Fractional positions:
Ca  0.017  0.017  0.949  0.01
Ac  0.842  0.842  0.474  0.06
Al  0.602  0.602  0.193  0.01
Pt  0.265  0.265  0.205  0.02



Quick rundown of total magnetic moment, same order as above: 5.56, 0.38 μB/f.u.
Quick rundown of volume, same order as above: 20.1, 31.6 Å³ per atom